(1)
# Ce2OsN | Alexandria via LeMat-Bulk | GGA-PBE | relaxed
data_Ce2OsN
_symmetry_space_group_name_H-M 'P 1'
_symmetry_Int_Tables_number 1
_cell_length_a 3.1655
_cell_length_b 3.1655
_cell_length_c 6.8606
_cell_angle_alpha 90.00
_cell_angle_beta 90.00
_cell_angle_gamma 90.00
loop_
_symmetry_equiv_pos_as_xyz
'x,y,z'
loop_
_atom_site_label
_atom_site_type_symbol
_atom_site_fract_x
_atom_site_fract_y
_atom_site_fract_z
Ce1 Ce 0.0000 0.0000 0.2161
Ce2 Ce 0.0000 0.0000 0.7839
Os1 Os 0.5000 0.5000 0.5000
N1 N 0.5000 0.5000 0.0000
# Formation energy without anion corrections, meV per atom: -411
# Space group: P4/mmm, No. 123
# Theoretical density, g/cm³: 11.7
# Raw total energy, eV/f.u.: -33.07
# Excess energy over the best structure of this formula in the dataset, meV per atom: 254.4

***

(2)
# Ce3OsN6 | Alexandria via LeMat-Bulk | GGA-PBE | relaxed
data_Ce3OsN6
_symmetry_space_group_name_H-M 'P 1'
_symmetry_Int_Tables_number 1
_cell_length_a 7.5118
_cell_length_b 7.5118
_cell_length_c 5.6030
_cell_angle_alpha 90.00
_cell_angle_beta 90.00
_cell_angle_gamma 103.75
loop_
_symmetry_equiv_pos_as_xyz
'x,y,z'
loop_
_atom_site_label
_atom_site_type_symbol
_atom_site_fract_x
_atom_site_fract_y
_atom_site_fract_z
Ce1 Ce 0.0999 0.9001 0.5000
Ce2 Ce 0.1976 0.4006 0.4749
Ce3 Ce 0.4006 0.1976 0.9749
Ce4 Ce 0.5994 0.8024 0.4749
Ce5 Ce 0.8024 0.5994 0.9749
Ce6 Ce 0.9001 0.0999 0.0000
Os1 Os 0.3043 0.6957 0.9185
Os2 Os 0.6957 0.3043 0.4185
N1 N 0.0848 0.6055 0.7646
N2 N 0.1493 0.1665 0.7319
N3 N 0.1665 0.1493 0.2319
N4 N 0.2913 0.7087 0.2445
N5 N 0.3945 0.9152 0.7646
N6 N 0.4498 0.5502 0.7927
N7 N 0.5502 0.4498 0.2927
N8 N 0.6055 0.0848 0.2646
N9 N 0.7087 0.2913 0.7445
N10 N 0.8335 0.8507 0.7319
N11 N 0.8507 0.8335 0.2319
N12 N 0.9152 0.3945 0.2646
# Formation energy without anion corrections, meV per atom: -916
# Space group: Cmc2_1, No. 36
# Theoretical density, g/cm³: 7.5
# Raw total energy, eV/f.u.: -88.14

***

(3)
# Ce5Os2N2 | Alexandria via LeMat-Bulk | GGA-PBE | relaxed
data_Ce5Os2N2
_symmetry_space_group_name_H-M 'P 1'
_symmetry_Int_Tables_number 1
_cell_length_a 7.5946
_cell_length_b 7.5946
_cell_length_c 5.0234
_cell_angle_alpha 97.00
_cell_angle_beta 97.00
_cell_angle_gamma 38.76
loop_
_symmetry_equiv_pos_as_xyz
'x,y,z'
loop_
_atom_site_label
_atom_site_type_symbol
_atom_site_fract_x
_atom_site_fract_y
_atom_site_fract_z
Ce1 Ce 0.0000 0.0000 0.0000
Ce2 Ce 0.1801 0.1801 0.4785
Ce3 Ce 0.3404 0.3404 0.0434
Ce4 Ce 0.6596 0.6596 0.9566
Ce5 Ce 0.8199 0.8199 0.5215
Os1 Os 0.4251 0.4251 0.6054
Os2 Os 0.5749 0.5749 0.3946
N1 N 0.1659 0.1659 0.9658
N2 N 0.8341 0.8341 0.0342
# Formation energy without anion corrections, meV per atom: -652
# Space group: C2/m, No. 12
# Theoretical density, g/cm³: 10.2
# Raw total energy, eV/f.u.: -74.65

***

(4)
# Ce3Os2N6 | Alexandria via LeMat-Bulk | GGA-PBE | relaxed
data_Ce3Os2N6
_symmetry_space_group_name_H-M 'P 1'
_symmetry_Int_Tables_number 1
_cell_length_a 9.8800
_cell_length_b 9.8800
_cell_length_c 9.8800
_cell_angle_alpha 157.08
_cell_angle_beta 157.08
_cell_angle_gamma 32.63
loop_
_symmetry_equiv_pos_as_xyz
'x,y,z'
loop_
_atom_site_label
_atom_site_type_symbol
_atom_site_fract_x
_atom_site_fract_y
_atom_site_fract_z
Ce1 Ce 0.0000 0.0000 0.0000
Ce2 Ce 0.1821 0.1821 0.0000
Ce3 Ce 0.8179 0.8179 0.0000
Os1 Os 0.4073 0.4073 0.0000
Os2 Os 0.5927 0.5927 0.0000
N1 N 0.0865 0.5865 0.5000
N2 N 0.2976 0.2976 0.0000
N3 N 0.4135 0.9135 0.5000
N4 N 0.5865 0.0865 0.5000
N5 N 0.7024 0.7024 0.0000
N6 N 0.9135 0.4135 0.5000
# Formation energy without anion corrections, meV per atom: -782
# Space group: I4/mmm, No. 139
# Theoretical density, g/cm³: 10.1
# Raw total energy, eV/f.u.: -98.82

***

(5)
# Ce3OsN | Alexandria via LeMat-Bulk | GGA-PBE | relaxed
data_Ce3OsN
_symmetry_space_group_name_H-M 'P 1'
_symmetry_Int_Tables_number 1
_cell_length_a 7.1004
_cell_length_b 3.6755
_cell_length_c 8.3451
_cell_angle_alpha 90.00
_cell_angle_beta 101.20
_cell_angle_gamma 90.00
loop_
_symmetry_equiv_pos_as_xyz
'x,y,z'
loop_
_atom_site_label
_atom_site_type_symbol
_atom_site_fract_x
_atom_site_fract_y
_atom_site_fract_z
Ce1 Ce 0.0839 0.2500 0.3467
Ce2 Ce 0.2557 0.2500 0.9423
Ce3 Ce 0.3952 0.7500 0.6352
Ce4 Ce 0.6048 0.2500 0.3648
Ce5 Ce 0.7443 0.7500 0.0577
Ce6 Ce 0.9161 0.7500 0.6533
Os1 Os 0.3395 0.7500 0.1899
Os2 Os 0.6605 0.2500 0.8101
N1 N 0.1438 0.2500 0.6404
N2 N 0.8562 0.7500 0.3596
# Formation energy without anion corrections, meV per atom: -600
# Space group: P2_1/m, No. 11
# Theoretical density, g/cm³: 9.7
# Raw total energy, eV/f.u.: -40.36

***

(6)
# Ce12Os6N | Alexandria via LeMat-Bulk | GGA-PBE | relaxed
data_Ce12Os6N
_symmetry_space_group_name_H-M 'P 1'
_symmetry_Int_Tables_number 1
_cell_length_a 7.9831
_cell_length_b 7.9831
_cell_length_c 7.9831
_cell_angle_alpha 98.06
_cell_angle_beta 98.06
_cell_angle_gamma 98.06
loop_
_symmetry_equiv_pos_as_xyz
'x,y,z'
loop_
_atom_site_label
_atom_site_type_symbol
_atom_site_fract_x
_atom_site_fract_y
_atom_site_fract_z
Ce1 Ce 0.0432 0.6971 0.9180
Ce2 Ce 0.0820 0.9568 0.3029
Ce3 Ce 0.1827 0.4114 0.5778
Ce4 Ce 0.3029 0.0820 0.9568
Ce5 Ce 0.4114 0.5778 0.1827
Ce6 Ce 0.4222 0.8173 0.5886
Ce7 Ce 0.5778 0.1827 0.4114
Ce8 Ce 0.5886 0.4222 0.8173
Ce9 Ce 0.6971 0.9180 0.0432
Ce10 Ce 0.8173 0.5886 0.4222
Ce11 Ce 0.9180 0.0432 0.6971
Ce12 Ce 0.9568 0.3029 0.0820
Os1 Os 0.1287 0.6208 0.3013
Os2 Os 0.3013 0.1287 0.6208
Os3 Os 0.3792 0.6987 0.8713
Os4 Os 0.6208 0.3013 0.1287
Os5 Os 0.6987 0.8713 0.3792
Os6 Os 0.8713 0.3792 0.6987
N1 N 0.0000 0.0000 0.0000
# Formation energy without anion corrections, meV per atom: -197
# Space group: R-3, No. 148
# Theoretical density, g/cm³: 9.6
# Raw total energy, eV/f.u.: -150.65

***

(7)
# Ce2OsN | Alexandria via LeMat-Bulk | GGA-PBE | relaxed
data_Ce2OsN
_symmetry_space_group_name_H-M 'P 1'
_symmetry_Int_Tables_number 1
_cell_length_a 5.4931
_cell_length_b 5.4617
_cell_length_c 11.0908
_cell_angle_alpha 90.00
_cell_angle_beta 112.07
_cell_angle_gamma 90.00
loop_
_symmetry_equiv_pos_as_xyz
'x,y,z'
loop_
_atom_site_label
_atom_site_type_symbol
_atom_site_fract_x
_atom_site_fract_y
_atom_site_fract_z
Ce1 Ce 0.0396 0.2200 0.0919
Ce2 Ce 0.0396 0.7800 0.5919
Ce3 Ce 0.3440 0.3301 0.8463
Ce4 Ce 0.3440 0.6699 0.3463
Ce5 Ce 0.6560 0.3301 0.6537
Ce6 Ce 0.6560 0.6699 0.1537
Ce7 Ce 0.9604 0.2200 0.4081
Ce8 Ce 0.9604 0.7800 0.9081
Os1 Os 0.4493 0.1555 0.3757
Os2 Os 0.4493 0.8445 0.8757
Os3 Os 0.5507 0.1555 0.1243
Os4 Os 0.5507 0.8445 0.6243
N1 N 0.0547 0.3521 0.6246
N2 N 0.0547 0.6479 0.1246
N3 N 0.9453 0.3521 0.8754
N4 N 0.9453 0.6479 0.3754
# Formation energy without anion corrections, meV per atom: -665
# Space group: P2/c, No. 13
# Theoretical density, g/cm³: 10.4
# Raw total energy, eV/f.u.: -34.08
# Excess energy over the best structure of this formula in the dataset, meV per atom: 0.0

***

(8)
# CePm2OsN4 | Alexandria via LeMat-Bulk | GGA-PBE | relaxed
data_CePm2OsN4
_symmetry_space_group_name_H-M 'P 1'
_symmetry_Int_Tables_number 1
_cell_length_a 6.1750
_cell_length_b 6.1750
_cell_length_c 11.9731
_cell_angle_alpha 90.00
_cell_angle_beta 90.00
_cell_angle_gamma 147.59
loop_
_symmetry_equiv_pos_as_xyz
'x,y,z'
loop_
_atom_site_label
_atom_site_type_symbol
_atom_site_fract_x
_atom_site_fract_y
_atom_site_fract_z
Ce1 Ce 0.1134 0.8866 0.7500
Ce2 Ce 0.8866 0.1134 0.2500
Pm1 Pm 0.3684 0.6316 0.5451
Pm2 Pm 0.3684 0.6316 0.9549
Pm3 Pm 0.6316 0.3684 0.0451
Pm4 Pm 0.6316 0.3684 0.4549
Os1 Os 0.1469 0.8531 0.2500
Os2 Os 0.8531 0.1469 0.7500
N1 N 0.0000 0.0000 0.0000
N2 N 0.0000 0.0000 0.5000
N3 N 0.2758 0.7242 0.1377
N4 N 0.2758 0.7242 0.3623
N5 N 0.4478 0.5522 0.7500
N6 N 0.5522 0.4478 0.2500
N7 N 0.7242 0.2758 0.6377
N8 N 0.7242 0.2758 0.8623
# Formation energy without anion corrections, meV per atom: -868
# Space group: Cmcm, No. 63
# Theoretical density, g/cm³: 9.2
# Raw total energy, eV/f.u.: -66.91